Computed, not measured: a relaxed TiTcMoSe2 crystal at the PBE level of DFT.

Values from the calculation:
Total magnetic moment = 0.22 Bohr magnetons per cell
SG = P4/mmm
Total energy = -31.36 eV per cell
Formation energy from raw total energies = 90.6 kJ/mol of atoms
Volume = 110.4 Å³/cell

a = 4.8258 Å, b = 4.7417 Å, c = 4.8258 Å
α = 90.00°, β = 90.00°, γ = 90.00°
Closest atoms and distances in Å follow each position.
Fractional positions:
Tc1 0.0000 0.5000 0.0000  2 Mo 2.37
Ti1 0.5000 0.5000 0.5000  8 Se 3.38, 4 Tc 3.41
Se1 0.5000 0.0000 0.0000  2 Mo 2.41
Mo1 0.0000 0.0000 0.0000  2 Tc 2.37, 4 Se 2.41
Se2 0.0000 0.0000 0.5000  2 Mo 2.41